DFT (SCAN) results for a PBEsol-optimized structure of VOF2.

Properties
The calculation puts the total DFT energy (no corrections) at -10.63 eV/atom.

POSCAR file:
```
VOF2
1.0
5.161 0.000 0.000
-2.581 4.515 -0.002
0.000 -0.266 12.971
V F O
6 12 6
direct
0.986 0.004 0.501 V
0.388 0.653 0.834 V
0.265 0.653 0.334 V
0.018 0.004 0.001 V
0.690 0.331 0.664 V
0.641 0.331 0.164 V
0.907 0.665 0.085 F
0.419 0.001 0.253 F
0.021 0.575 0.749 F
0.554 0.575 0.249 F
0.662 0.898 0.412 F
0.758 0.665 0.585 F
0.236 0.898 0.912 F
0.100 0.340 0.915 F
0.771 0.100 0.085 F
0.582 0.001 0.753 F
0.240 0.340 0.415 F
0.329 0.100 0.585 F
0.101 0.773 0.418 O
0.672 0.773 0.918 O
0.986 0.442 0.253 O
0.336 0.219 0.082 O
0.883 0.219 0.582 O
0.456 0.442 0.753 O
```



DFT (SCAN) results for a PBEsol-optimized structure of SnPdC3.

Properties
The calculation puts the total DFT energy (no corrections) at -16.65 eV/atom. Its formation energy is 3.15 eV per atom.

POSCAR file:
```
SnPdC3
1.0
-3.196 2.495 -1.098
-0.457 -2.158 -3.574
-2.687 -2.600 1.913
C Pd Sn
3 1 1
direct
0.000 0.500 0.000 C
0.500 0.000 0.000 C
0.000 0.000 0.500 C
0.500 0.500 0.500 Pd
0.000 0.000 0.000 Sn
```